Computed, not measured: LiNbPO5 after structural relaxation at the PBE level of DFT.

## Properties
**Energy above the most stable polymorph in this dataset**: 0.00 kJ per mole of atoms
**Formation energy without anion corrections**: -2335 meV/atom
**Total DFT energy (no corrections)**: -7.608 eV per atom

Geometry as POSCAR:
```
LiNbPO5
1.0
-4.2138 6.2593 -0.4853
-2.8637 -6.4741 -2.5586
-3.0800 -1.5095 7.2660
Li Nb P O
4 4 4 20
Direct
0.2492 0.8088 0.4319
0.2480 0.3084 0.0681
0.7520 0.6916 0.9319
0.7508 0.1912 0.5681
0.2487 0.5035 0.7401
0.2486 0.0035 0.7599
0.7514 0.9965 0.2401
0.7513 0.4965 0.2599
0.2466 0.7399 0.1114
0.2473 0.2400 0.3885
0.7527 0.7600 0.6115
0.7534 0.2601 0.8886
0.2181 0.8900 0.9985
0.0714 0.6448 0.2392
0.2512 0.7549 0.6732
0.2630 0.5766 0.0048
0.2199 0.3909 0.5014
0.4325 0.8524 0.2269
0.0712 0.1446 0.2617
0.2510 0.2548 0.8268
0.7355 0.9228 0.5048
0.4324 0.3519 0.2720
0.5676 0.6481 0.7280
0.2645 0.0772 0.4952
0.7490 0.7452 0.1732
0.9288 0.8554 0.7383
0.5675 0.1476 0.7731
0.7801 0.6091 0.4986
0.7370 0.4234 0.9952
0.7488 0.2451 0.3268
0.9286 0.3552 0.7608
0.7819 0.1100 0.0015
```

Computed, not measured: Li2NbPO6 after structural relaxation at the PBE level of DFT.

## Properties
**Formation energy without anion corrections**: -2151 meV/atom
**Total DFT energy (no corrections)**: -7.056 eV per atom

Geometry as POSCAR:
```
Li2NbPO6
1.0
-1.8098 2.0006 3.6413
-4.5410 -1.6569 -1.3466
0.7368 -4.1865 2.6664
Li Nb P O
2 1 1 6
Direct
0.9634 0.5000 0.0000
0.9634 0.0000 0.5000
0.5957 0.5000 0.5000
0.6008 0.0000 0.0000
0.7141 0.2287 0.2287
0.7141 0.2287 0.7713
0.2004 0.5000 0.5000
0.2666 0.0000 0.0000
0.7141 0.7713 0.7713
0.7141 0.7713 0.2287
```